1.
Hf2N2Cl | PBE | relaxed

Unit cell a=6.6697 b=6.6697 c=2.8700 alpha=90.00 beta=90.00 gamma=90.00
With the nearest neighbours (Å) after each atom.
Space group P4/mbm (No. 127)
Inequivalent atoms, fractional coordinates:
Hf1 0.1519 0.3481 0.0000 (multiplicity 4)  6 N 2.35-2.53
N1 0.1270 0.6270 0.5000 (multiplicity 4)  6 Hf 2.35-2.53, 1 N 2.40, 2 Cl 2.63
Cl1 0.0000 0.0000 0.5000 (multiplicity 2)  4 N 2.63, 2 Cl 2.87, 8 Hf 2.91

## Properties
**Distance to the lowest polymorph of the same formula**: 0.5596 eV per atom
**Formation energy without anion corrections**: -682.7 meV per atom

---

2.
TbSm9Tm2 | PBE | relaxed

Unit cell a=5.0883 b=5.0883 c=15.2585 alpha=90.00 beta=90.00 gamma=90.00
With the nearest neighbours (Å) after each atom.
Space group P4/mmm (No. 123)
Inequivalent atoms, fractional coordinates:
Tb1 0.0000 0.0000 0.0000 (multiplicity 1)  12 Sm 3.60-3.61
Sm1 0.0000 0.5000 0.1677 (multiplicity 4)  2 Tm 3.59, 8 Sm 3.60-3.61, 2 Tb 3.61
Sm2 0.0000 0.5000 0.5000 (multiplicity 2)  8 Sm 3.59-3.60, 4 Tm 3.59
Sm3 0.5000 0.5000 0.0000 (multiplicity 1)  4 Tb 3.60, 8 Sm 3.61
Sm4 0.5000 0.5000 0.3342 (multiplicity 2)  8 Sm 3.59-3.60, 4 Tm 3.60
Tm1 0.0000 0.0000 0.3339 (multiplicity 2)  12 Sm 3.59-3.60

## Properties
**DFT formation energy**: 0.02 eV/atom

---

3.
Er3Al2Si3 | PBE | relaxed

Unit cell a=4.1086 b=10.8849 c=14.0775 alpha=90.00 beta=90.00 gamma=90.00
With the nearest neighbours (Å) after each atom.
Space group Cmcm (No. 63)
Inequivalent atoms, fractional coordinates:
Er1 0.0000 0.0627 0.1163 (multiplicity 8)  6 Si 2.92-3.03, 3 Al 3.11-3.12
Er2 0.0000 0.3555 0.2500 (multiplicity 4)  5 Si 3.01-3.12, 4 Al 3.08
Al1 0.0000 0.2223 0.5980 (multiplicity 8)  4 Si 2.55-2.67
Si1 0.0000 0.3582 0.7500 (multiplicity 4)  2 Al 2.60
Si2 0.0000 0.3927 0.0380 (multiplicity 8)  3 Al 2.55-2.67, 1 Si 2.57

## Properties
**Formation energy without anion corrections**: -619.8 meV per atom

---

4.
ErSc5In6 | PBE | relaxed

Unit cell a=4.6069 b=8.6972 c=13.8116 alpha=90.00 beta=90.00 gamma=90.00
With the nearest neighbours (Å) after each atom.
Space group Immm (No. 71)
Inequivalent atoms, fractional coordinates:
Er1 0.0000 0.0000 0.0000 (multiplicity 2)  8 In 3.19-3.20, 4 Sc 3.28
Sc1 0.0000 0.0000 0.3328 (multiplicity 4)  8 In 3.14-3.16, 4 Sc 3.23-3.26
Sc2 0.0000 0.5000 0.0000 (multiplicity 2)  8 In 3.14-3.17, 4 Sc 3.26
Sc3 0.0000 0.5000 0.3311 (multiplicity 4)  8 In 3.11-3.22, 2 Sc 3.23, 2 Er 3.28
In1 0.0000 0.2455 0.5000 (multiplicity 4)  6 Sc 3.14-3.22, 2 Er 3.19, 4 In 3.27
In2 0.0000 0.2522 0.1683 (multiplicity 8)  7 Sc 3.11-3.18, 1 Er 3.20, 4 In 3.23-3.27

## Properties
**DFT formation energy**: -0.43 eV/atom

---

5.
LiLa8Ga2 | PBE | relaxed

Unit cell a=18.7080 b=5.0342 c=7.7440 alpha=90.00 beta=107.44 gamma=90.00
With the nearest neighbours (Å) after each atom.
Space group C2/m (No. 12)
Inequivalent atoms, fractional coordinates:
Li1 0.0000 0.0000 0.0000 (multiplicity 2)  8 La 3.27-3.49
La1 0.0277 0.5000 0.7530 (multiplicity 4)  1 Ga 3.14, 2 Li 3.30, 2 La 3.44
La2 0.0906 0.0000 0.4652 (multiplicity 4)  2 Ga 3.32, 6 La 3.44-3.67, 1 Li 3.49
La3 0.1691 0.0000 0.9598 (multiplicity 4)  3 Ga 3.13-3.30, 1 Li 3.27
La4 0.1969 0.5000 0.3031 (multiplicity 4)  3 Ga 3.14-3.32
Ga1 0.1883 0.5000 0.7022 (multiplicity 4)  9 La 3.13-3.32

## Properties
**DFT formation energy**: -0.19 eV/atom

---

6.
Sm6GaCo2Cl3 | PBE | relaxed

Unit cell a=19.2283 b=3.9095 c=8.7227 alpha=90.00 beta=108.03 gamma=90.00
With the nearest neighbours (Å) after each atom.
Space group C2/m (No. 12)
Inequivalent atoms, fractional coordinates:
Sm1 0.0260 0.0000 0.2632 (multiplicity 4)  1 Co 2.65, 2 Ga 2.94
Sm2 0.1617 0.5000 0.1257 (multiplicity 4)  2 Co 2.72, 1 Ga 2.96
Sm3 0.1825 0.5000 0.5720 (multiplicity 4)  3 Co 2.69-2.73
Ga1 0.0000 0.5000 0.0000 (multiplicity 2)  6 Sm 2.94-2.96
Co1 0.1708 0.0000 0.3474 (multiplicity 4)  6 Sm 2.65-2.73
Cl1 0.0000 0.5000 0.5000 (multiplicity 2)  4 Sm 3.00
Cl2 0.1698 0.0000 0.8469 (multiplicity 4)  5 Sm 3.16-3.17

## Properties
**Formation energy without anion corrections**: -877.0 meV per atom

---

7.
PrNd5Hg4 | PBE | relaxed

Unit cell a=3.8141 b=3.8141 c=20.4920 alpha=90.00 beta=90.00 gamma=90.00
With the nearest neighbours (Å) after each atom.
Space group P4/mmm (No. 123)
Inequivalent atoms, fractional coordinates:
Pr1 0.0000 0.0000 0.0000 (multiplicity 1)  8 Nd 3.70, 4 Pr 3.81
Nd1 0.5000 0.5000 0.1234 (multiplicity 2)  4 Hg 3.29
Nd2 0.5000 0.5000 0.3124 (multiplicity 2)  8 Hg 3.30-3.36
Nd3 0.5000 0.5000 0.5000 (multiplicity 1)  8 Hg 3.32
Hg1 0.0000 0.0000 0.2150 (multiplicity 2)  8 Nd 3.29-3.36
Hg2 0.0000 0.0000 0.4056 (multiplicity 2)  8 Nd 3.30-3.32

## Properties
**DFT formation energy**: -0.37 eV/atom

---

8.
Ta2CdSi | PBE | relaxed

Unit cell a=2.8976 b=4.1397 c=5.8729 alpha=90.00 beta=98.56 gamma=90.00
With the nearest neighbours (Å) after each atom.
Space group P2/m (No. 10)
Inequivalent atoms, fractional coordinates:
Ta1 0.0712 0.0000 0.2713 (multiplicity 2)  2 Si 2.67, 3 Ta 2.78-2.90, 2 Cd 2.96
Cd1 0.5000 0.5000 0.0000 (multiplicity 1)  2 Cd 2.90, 2 Si 2.94, 8 Ta 2.96-2.99
Si1 0.5000 0.5000 0.5000 (multiplicity 1)  4 Ta 2.67, 2 Si 2.90, 2 Cd 2.94

## Properties
**Formation energy without anion corrections**: 85.9 meV per atom

---

9.
Tb2PmYSe4 | PBE | relaxed

Unit cell a=7.1411 b=4.0702 c=7.1886 alpha=90.00 beta=108.88 gamma=90.00
With the nearest neighbours (Å) after each atom.
Space group P2/m (No. 10)
Inequivalent atoms, fractional coordinates:
Tb1 0.0000 0.0000 0.0000 (multiplicity 1)  6 Se 2.88
Tb2 0.0000 0.5000 0.5000 (multiplicity 1)  6 Se 2.92
Pm1 0.5000 0.0000 0.5000 (multiplicity 1)  6 Se 2.95
Y1 0.5000 0.5000 0.0000 (multiplicity 1)  6 Se 2.91
Se1 0.2441 0.5000 0.2435 (multiplicity 2)  3 Tb 2.88-2.92, 1 Y 2.91, 2 Pm 2.95
Se2 0.2476 0.0000 0.7537 (multiplicity 2)  3 Tb 2.88-2.92, 2 Y 2.91, 1 Pm 2.95

## Properties
**Formation energy without anion corrections**: -1783.3 meV per atom

---

10.
KRe2Rh | PBE | relaxed

Unit cell a=2.7725 b=2.7725 c=31.5050 alpha=90.00 beta=90.00 gamma=120.00
With the nearest neighbours (Å) after each atom.
Space group R-3m (No. 166, hexagonal axes)
Inequivalent atoms, fractional coordinates:
K1 0.0000 0.0000 0.0000 (multiplicity 3)  6 K 2.77
Re1 0.0000 0.0000 0.2361 (multiplicity 6)  3 Rh 2.71, 6 Re 2.77
Rh1 0.0000 0.0000 0.5000 (multiplicity 3)  6 Re 2.71, 6 Rh 2.77

## Properties
**Distance to the lowest polymorph of the same formula**: 0.1501 eV per atom
**DFT formation energy**: 0.75 eV/atom

---

11.
Dy6BiTe3Pb2 | PBE | relaxed

Unit cell a=19.2280 b=4.4290 c=8.8298 alpha=90.00 beta=102.92 gamma=90.00
With the nearest neighbours (Å) after each atom.
Space group C2/m (No. 12)
Inequivalent atoms, fractional coordinates:
Dy1 0.0037 0.0000 0.2501 (multiplicity 4)  1 Pb 3.06, 2 Bi 3.12, 3 Te 3.14-3.16
Dy2 0.1666 0.5000 0.0917 (multiplicity 4)  2 Pb 3.07, 1 Bi 3.12, 3 Te 3.15-3.17
Dy3 0.1689 0.5000 0.5775 (multiplicity 4)  3 Pb 3.08-3.09, 3 Te 3.17-3.18
Bi1 0.0000 0.5000 0.0000 (multiplicity 2)  6 Dy 3.12
Te1 0.0000 0.5000 0.5000 (multiplicity 2)  6 Dy 3.14-3.17
Te2 0.1651 0.0000 0.8336 (multiplicity 4)  6 Dy 3.15-3.18
Pb1 0.1669 0.0000 0.3332 (multiplicity 4)  6 Dy 3.06-3.09

## Properties
**Formation energy without anion corrections**: -996.7 meV per atom

---

12.
Dy4Ho7Cd | PBE | relaxed

Unit cell a=3.5360 b=3.5360 c=33.7917 alpha=90.00 beta=90.00 gamma=120.00
With the nearest neighbours (Å) after each atom.
Space group P-3m1 (No. 164)
Inequivalent atoms, fractional coordinates:
Dy1 0.3333 0.6667 0.1595 (multiplicity 2)  6 Ho 3.52-3.53, 6 Dy 3.54
Dy2 0.3333 0.6667 0.4148 (multiplicity 2)  6 Ho 3.53, 6 Dy 3.54
Ho1 0.0000 0.0000 0.2448 (multiplicity 2)  9 Ho 3.52-3.54, 3 Dy 3.53
Ho2 0.0000 0.0000 0.5000 (multiplicity 1)  6 Dy 3.53, 6 Ho 3.54
Ho3 0.3333 0.6667 0.6703 (multiplicity 2)  9 Ho 3.52-3.54, 3 Dy 3.53
Ho4 0.3333 0.6667 0.9252 (multiplicity 2)  3 Cd 3.25, 3 Dy 3.52, 6 Ho 3.54
Cd1 0.0000 0.0000 0.0000 (multiplicity 1)  6 Ho 3.25, 6 Cd 3.54

## Properties
**DFT formation energy**: -0.01 eV/atom

---

13.
TcRuSe2 | PBE | relaxed

Unit cell a=3.7313 b=3.7313 c=9.0532 alpha=90.00 beta=90.00 gamma=90.00
With the nearest neighbours (Å) after each atom.
Space group I-4m2 (No. 119)
Inequivalent atoms, fractional coordinates:
Tc1 0.0000 0.0000 0.0000 (multiplicity 2)  8 Se 2.64-2.93, 4 Ru 2.93
Ru1 0.0000 0.5000 0.7500 (multiplicity 2)  8 Se 2.64-2.93, 4 Tc 2.93
Se1 0.0000 0.0000 0.5000 (multiplicity 2)  4 Tc 2.64, 4 Se 2.93, 4 Ru 2.93
Se2 0.0000 0.5000 0.2500 (multiplicity 2)  4 Ru 2.64, 4 Se 2.93, 4 Tc 2.93

## Properties
**Distance to the lowest polymorph of the same formula**: 0.6105 eV per atom
**Formation energy without anion corrections**: 533.6 meV per atom

---

14.
Gd2MgGa | PBE | relaxed

Unit cell a=3.7019 b=3.7019 c=7.4908 alpha=90.00 beta=90.00 gamma=90.00
With the nearest neighbours (Å) after each atom.
Space group P4/mmm (No. 123)
Inequivalent atoms, fractional coordinates:
Gd1 0.0000 0.0000 0.2321 (multiplicity 2)  4 Ga 3.14, 4 Mg 3.30, 1 Gd 3.48
Mg1 0.5000 0.5000 0.5000 (multiplicity 1)  8 Gd 3.30
Ga1 0.5000 0.5000 0.0000 (multiplicity 1)  8 Gd 3.14

## Properties
**DFT formation energy**: -0.35 eV/atom

---

15.
Sm3Ho12Pu | PBE | relaxed

Unit cell a=5.0029 b=5.0029 c=19.9692 alpha=90.00 beta=90.00 gamma=90.00
With the nearest neighbours (Å) after each atom.
Space group P4/mmm (No. 123)
Inequivalent atoms, fractional coordinates:
Sm1 0.0000 0.0000 0.0000 (multiplicity 1)  12 Ho 3.54-3.55
Sm2 0.0000 0.0000 0.2526 (multiplicity 2)  12 Ho 3.54-3.56
Ho1 0.0000 0.5000 0.1265 (multiplicity 4)  8 Ho 3.54-3.55, 4 Sm 3.55
Ho2 0.0000 0.5000 0.3793 (multiplicity 4)  2 Pu 3.47, 8 Ho 3.47-3.57, 2 Sm 3.56
Ho3 0.5000 0.5000 0.0000 (multiplicity 1)  4 Sm 3.54, 8 Ho 3.55
Ho4 0.5000 0.5000 0.2520 (multiplicity 2)  4 Sm 3.54, 8 Ho 3.54-3.57
Ho5 0.5000 0.5000 0.5000 (multiplicity 1)  8 Ho 3.47, 4 Pu 3.54
Pu1 0.0000 0.0000 0.5000 (multiplicity 1)  12 Ho 3.47-3.54

## Properties
**DFT formation energy**: 0.04 eV/atom

---

16.
La2RuC | PBE | relaxed

Unit cell a=5.5160 b=3.9892 c=8.3404 alpha=90.00 beta=90.06 gamma=90.00
With the nearest neighbours (Å) after each atom.
Space group P2_1/m (No. 11)
Inequivalent atoms, fractional coordinates:
La1 0.2500 0.2500 0.0269 (multiplicity 2)  1 C 2.50
La2 0.2503 0.7500 0.6212 (multiplicity 2)  1 Ru 2.65, 2 C 2.79
Ru1 0.2495 0.7500 0.3038 (multiplicity 2)  2 C 2.00
C1 0.2495 0.2500 0.3263 (multiplicity 2)  2 Ru 2.00

## Properties
**DFT formation energy**: -0.13 eV/atom

---

17.
Nb2RePd | PBE | relaxed

Unit cell a=4.5419 b=4.5419 c=3.2459 alpha=90.00 beta=90.00 gamma=90.00
With the nearest neighbours (Å) after each atom.
Space group P4/mmm (No. 123)
Inequivalent atoms, fractional coordinates:
Nb1 0.0000 0.5000 0.0000 (multiplicity 2)  4 Re 2.79, 4 Pd 2.79
Re1 0.0000 0.0000 0.5000 (multiplicity 1)  8 Nb 2.79
Pd1 0.5000 0.5000 0.5000 (multiplicity 1)  8 Nb 2.79

## Properties
**DFT formation energy**: -0.13 eV/atom

---

18.
Np2CoPd9 | PBE | relaxed

Unit cell a=4.0775 b=4.0775 c=12.0371 alpha=90.00 beta=90.00 gamma=90.00
With the nearest neighbours (Å) after each atom.
Space group P4/mmm (No. 123)
Inequivalent atoms, fractional coordinates:
Np1 0.0000 0.0000 0.1770 (multiplicity 2)  12 Pd 2.87-2.95
Co1 0.0000 0.0000 0.5000 (multiplicity 1)  12 Pd 2.76-2.88
Pd1 0.0000 0.5000 0.0000 (multiplicity 2)  8 Pd 2.88-2.91, 4 Np 2.95
Pd2 0.0000 0.5000 0.3454 (multiplicity 4)  2 Co 2.76, 8 Pd 2.76-2.92, 2 Np 2.87
Pd3 0.5000 0.5000 0.1722 (multiplicity 2)  4 Np 2.88, 8 Pd 2.91-2.92
Pd4 0.5000 0.5000 0.5000 (multiplicity 1)  8 Pd 2.76, 4 Co 2.88

## Properties
**DFT formation energy**: -0.25 eV/atom

---

19.
LuScZn2 | PBE | relaxed

Unit cell a=3.4188 b=3.4188 c=6.8504 alpha=90.00 beta=90.00 gamma=90.00
With the nearest neighbours (Å) after each atom.
Space group P4/mmm (No. 123)
Inequivalent atoms, fractional coordinates:
Lu1 0.0000 0.0000 0.0000 (multiplicity 1)  8 Zn 3.03
Sc1 0.0000 0.0000 0.5000 (multiplicity 1)  8 Zn 2.90
Zn1 0.5000 0.5000 0.2655 (multiplicity 2)  4 Sc 2.90, 4 Lu 3.03, 1 Zn 3.21

## Properties
**Distance to the lowest polymorph of the same formula**: 0.0016 eV per atom
**DFT formation energy**: -0.36 eV/atom

---

20.
TbDy2InO | PBE | relaxed

Unit cell a=4.7789 b=4.7789 c=4.8111 alpha=90.00 beta=90.00 gamma=90.00
With the nearest neighbours (Å) after each atom.
Space group P4/mmm (No. 123)
Inequivalent atoms, fractional coordinates:
Tb1 0.0000 0.0000 0.0000 (multiplicity 1)  2 O 2.41
Dy1 0.0000 0.5000 0.5000 (multiplicity 2)  2 O 2.39
In1 0.5000 0.5000 0.0000 (multiplicity 1)  4 Tb 3.38, 8 Dy 3.39
O1 0.0000 0.0000 0.5000 (multiplicity 1)  4 Dy 2.39, 2 Tb 2.41

## Properties
**Formation energy without anion corrections**: -1431.5 meV per atom